No. 1
Y2Zn after structural relaxation. Source: Alexandria via LeMat-Bulk, functional PBEsol.

Cell and atoms, written as extended XYZ:
```
3
Lattice="-2.946 0.749 -0.354 -1.078 -2.089 4.546 1.293 4.943 -0.303" Properties=species:S:1:pos:R:3 pbc="T T T"
Y 0.503 2.599 1.313
Zn -1.473 0.374 -0.177
Y -0.288 0.255 2.930
```

Results
Symmetry: No. 191
DOS(E_F): 0.7935 states/eV per atom



No. 2
Y2Zn after structural relaxation. Source: Alexandria via LeMat-Bulk, functional PBEsol.

Cell and atoms, written as extended XYZ:
```
6
Lattice="-1.177 1.211 -3.127 -6.241 -0.659 0.074 -2.443 6.796 1.532" Properties=species:S:1:pos:R:3 pbc="T T T"
Y -7.735 6.690 -0.556
Y -7.086 2.981 -2.237
Zn -4.172 2.757 -1.401
Y -2.126 0.658 -0.965
Y -2.774 4.368 0.716
Zn -5.688 4.592 -0.120
```

Results
Symmetry: No. 12
DOS(E_F): 1.2390 states/eV per atom



No. 3
YZn3 after structural relaxation. Source: Alexandria via LeMat-Bulk, functional PBEsol.

Cell and atoms, written as extended XYZ:
```
16
Lattice="4.314 0.000 0.000 0.000 6.564 0.000 0.000 0.000 9.905" Properties=species:S:1:pos:R:3 pbc="T T T"
Y 1.079 1.818 3.362
Zn 1.079 1.454 0.440
Zn 3.236 5.109 9.465
Y 3.236 4.746 6.543
Y 1.079 5.100 1.590
Zn 3.236 0.530 1.444
Zn 3.236 3.812 3.508
Zn 3.236 1.828 5.393
Zn 1.079 3.531 8.854
Zn 3.236 6.315 3.901
Zn 3.236 3.033 1.051
Zn 1.079 6.034 8.461
Zn 1.079 2.752 6.397
Zn 1.079 4.736 4.513
Y 3.236 1.464 8.315
Zn 1.079 0.249 6.004
```

Results
Symmetry: No. 62
DOS(E_F): 0.5152 states/eV per atom



No. 4
Y4Zn after structural relaxation. Source: Alexandria via LeMat-Bulk, functional PBEsol.

Cell and atoms, written as extended XYZ:
```
10
Lattice="-3.509 -0.294 0.699 2.378 -5.933 0.223 2.242 1.894 12.058" Properties=species:S:1:pos:R:3 pbc="T T T"
Y 0.883 -4.778 2.422
Y 0.351 -1.659 1.066
Y 0.761 -2.674 11.914
Y 0.229 0.445 10.558
Y -0.275 -0.908 7.455
Zn 1.997 -1.657 9.330
Zn -0.885 -2.677 3.650
Y 1.388 -3.425 5.524
Y 0.251 -4.030 8.783
Y 0.861 -0.304 4.196
```

Results
Distance to the lowest polymorph of the same formula: 0.00 eV/f.u.
Symmetry: No. 12
DOS(E_F): 1.1556 states/eV per atom



No. 5
YZn3 after structural relaxation. Source: Alexandria via LeMat-Bulk, functional PBEsol.

Cell and atoms, written as extended XYZ:
```
4
Lattice="-2.038 0.268 2.596 2.243 -3.179 2.089 3.127 3.582 2.092" Properties=species:S:1:pos:R:3 pbc="T T T"
Zn 0.544 1.925 2.344
Y 0.000 0.000 0.000
Zn 2.439 1.221 3.906
Zn 0.893 -0.551 2.871
```

Results
Symmetry: No. 47
DOS(E_F): 0.5780 states/eV per atom



No. 6
Y2Zn after structural relaxation. Source: Alexandria via LeMat-Bulk, functional PBEsol.

Cell and atoms, written as extended XYZ:
```
6
Lattice="3.818 0.000 0.000 0.000 5.321 0.000 -1.909 0.000 7.606" Properties=species:S:1:pos:R:3 pbc="T T T"
Y 1.909 3.991 2.012
Zn 0.000 3.991 4.225
Y 0.000 1.330 5.594
Zn 1.909 1.330 3.381
Y 0.000 1.330 1.033
Y 1.909 3.991 6.573
```

Results
Symmetry: No. 63
DOS(E_F): 0.8828 states/eV per atom



No. 7
Y3Zn5 after structural relaxation. Source: Alexandria via LeMat-Bulk, functional PBEsol.

Cell and atoms, written as extended XYZ:
```
8
Lattice="-1.144 4.154 1.884 -5.688 -1.814 0.547 2.977 -1.446 4.998" Properties=species:S:1:pos:R:3 pbc="T T T"
Y -4.328 0.345 2.481
Y -1.355 -1.630 2.773
Zn -2.844 -0.907 0.273
Zn -2.579 -0.337 5.048
Zn 0.000 0.000 0.000
Zn 1.489 -0.723 2.499
Y 0.473 0.549 4.948
Zn -1.275 1.231 2.381
```

Results
Symmetry: No. 65
DOS(E_F): 0.5468 states/eV per atom



No. 8
Y3Zn after structural relaxation. Source: Alexandria via LeMat-Bulk, functional PBEsol.

Cell and atoms, written as extended XYZ:
```
4
Lattice="3.533 0.000 0.000 1.766 3.059 0.000 1.766 1.020 10.127" Properties=species:S:1:pos:R:3 pbc="T T T"
Y 5.299 3.059 7.949
Zn 0.000 0.000 0.000
Y 3.533 2.040 5.063
Y 1.766 1.020 2.178
```

Results
Symmetry: No. 166
DOS(E_F): 1.0225 states/eV per atom



no.,formation energy from the elements (eV per atom)
1,0.161
2,-0.195
3,-0.386
4,-0.137
5,-0.195
6,-0.098
7,-0.292
8,-0.052